Entry from the Alexandria database: a geometry-optimized Mg2ZrInPb structure (GGA-PBE).

Computed properties:
Calculated formation energy = 0.565 eV per atom
SG = P4/mmm

abc: 5.2031 5.6290 5.2031
angles: 90.00 90.00 90.00
Last column: nearest neighbours and their distance in Å.
Positions (direct):
Zr  0.0000  0.5000  0.0000  2 Pb 2.81
Mg  0.0000  0.0000  0.5000  2 Pb 2.60
Mg  0.5000  0.0000  0.0000  2 Pb 2.60
In  0.5000  0.5000  0.5000  4 Zr 3.68, 8 Mg 3.83
Pb  0.0000  0.0000  0.0000  4 Mg 2.60, 2 Zr 2.81

---

Entry from the Alexandria database: a geometry-optimized MgIn2Pd8 structure (GGA-PBE).

Computed properties:
Calculated formation energy = -0.449 eV per atom
Energy above the lowest structure with this stoichiometry = 0.0 meV per atom
SG = C2/m

abc: 4.1476 6.3733 7.4174
angles: 106.33 106.24 90.00
Last column: nearest neighbours and their distance in Å.
Positions (direct):
Pd  0.8593  0.8106  0.7185  7 Pd 2.76-2.88, 3 In 2.83-2.87, 2 Mg 2.89
Pd  0.1407  0.1894  0.2815  7 Pd 2.76-2.88, 3 In 2.83-2.87, 2 Mg 2.89
Pd  0.0389  0.7268  0.0779  1 In 2.75, 9 Pd 2.76-2.95, 2 Mg 2.86
Pd  0.3246  0.0877  0.6491  3 In 2.70-2.82, 1 Mg 2.72, 8 Pd 2.80-2.94
Pd  0.6754  0.9123  0.3509  3 In 2.70-2.82, 1 Mg 2.72, 8 Pd 2.80-2.94
Pd  0.9611  0.2732  0.9221  1 In 2.75, 9 Pd 2.76-2.95, 2 Mg 2.86
Pd  0.5935  0.4551  0.1869  8 Pd 2.80-2.95, 3 In 2.81-2.94, 1 Mg 2.81
Pd  0.4065  0.5449  0.8131  8 Pd 2.80-2.95, 3 In 2.81-2.94, 1 Mg 2.81
Mg  0.5000  0.0000  0.0000  12 Pd 2.72-2.89
In  0.2208  0.6580  0.4417  10 Pd 2.70-2.94
In  0.7792  0.3420  0.5583  10 Pd 2.70-2.94

---

Entry from the Alexandria database: a geometry-optimized MgInPd structure (GGA-PBE).

Computed properties:
Calculated formation energy = -0.466 eV per atom
SG = Amm2

abc: 4.6560 5.5378 5.5378
angles: 114.53 90.00 90.00
Last column: nearest neighbours and their distance in Å.
Positions (direct):
Pd  0.0000  0.6560  0.8379  4 Mg 2.75-2.79, 4 In 2.76-2.78, 2 Pd 2.96-3.03
Pd  0.0000  0.1621  0.3440  4 Mg 2.75-2.79, 4 In 2.76-2.78, 2 Pd 2.96-3.03
In  0.0000  0.6592  0.3408  4 Pd 2.76-2.78, 2 Mg 2.99
In  0.5000  0.9101  0.0899  4 Pd 2.78, 2 Mg 2.99
Mg  0.5000  0.4143  0.5857  4 Pd 2.76, 2 In 2.99
Mg  0.0000  0.1600  0.8400  4 Pd 2.75-2.79, 2 In 2.99

---

Entry from the Alexandria database: a geometry-optimized MgInPd2 structure (GGA-PBE).

Computed properties:
Calculated formation energy = -0.667 eV per atom
Energy above the lowest structure with this stoichiometry = 0.0 meV per atom
SG = Fm-3m

abc: 4.5844 4.5844 4.5844
angles: 60.00 60.00 60.00
Last column: nearest neighbours and their distance in Å.
Positions (direct):
Mg  0.0000  0.0000  0.0000  8 Pd 2.81
In  0.5000  0.5000  0.5000  8 Pd 2.81
Pd  0.7500  0.7500  0.7500  4 In 2.81, 4 Mg 2.81
Pd  0.2500  0.2500  0.2500  4 In 2.81, 4 Mg 2.81

---

Entry from the Alexandria database: a geometry-optimized Mg2In2Pd7 structure (GGA-PBE).

Computed properties:
Calculated formation energy = -0.424 eV per atom
SG = P-1

abc: 6.1431 4.6482 7.1156
angles: 78.92 106.34 85.85
Last column: nearest neighbours and their distance in Å.
Positions (direct):
Mg  0.3151  0.6989  0.6818  8 Pd 2.60-2.90
Mg  0.6849  0.3011  0.3182  8 Pd 2.60-2.90
Pd  0.0000  0.0000  0.0000  4 Pd 2.70-2.79, 2 In 2.78
Pd  0.3765  0.2572  0.9864  2 Mg 2.60-2.63, 5 Pd 2.68-2.88, 1 In 2.73
Pd  0.5534  0.1940  0.6541  3 Mg 2.70-2.82, 2 In 2.82-2.86, 3 Pd 2.88-2.97
Pd  0.0615  0.2046  0.6263  3 Mg 2.62-2.90, 2 In 2.73-2.82, 4 Pd 2.79-2.90
Pd  0.9385  0.7954  0.3737  3 Mg 2.62-2.90, 2 In 2.73-2.82, 4 Pd 2.79-2.90
Pd  0.6235  0.7428  0.0136  2 Mg 2.60-2.63, 5 Pd 2.68-2.88, 1 In 2.73
Pd  0.4466  0.8060  0.3459  3 Mg 2.70-2.82, 2 In 2.82-2.86, 3 Pd 2.88-2.97
In  0.8337  0.6370  0.7386  7 Pd 2.73-3.04
In  0.1663  0.3630  0.2614  7 Pd 2.73-3.04

---

Entry from the Alexandria database: a geometry-optimized MgIn2Pd2 structure (GGA-PBE).

Computed properties:
Calculated formation energy = -0.321 eV per atom
SG = C2/m

abc: 4.5603 4.5603 7.2967
angles: 124.70 124.70 78.31
Last column: nearest neighbours and their distance in Å.
Positions (direct):
Mg  0.0000  0.0000  0.0000  2 Pd 2.64
In  0.7592  0.2408  0.5000  4 Pd 2.76-2.86, 2 In 2.77-2.99, 2 Mg 3.02
In  0.2408  0.7592  0.5000  4 Pd 2.76-2.86, 2 In 2.77-2.99, 2 Mg 3.02
Pd  0.5172  0.5172  0.8309  1 Mg 2.64, 1 Pd 2.65, 4 In 2.76-2.86
Pd  0.4828  0.4828  0.1691  1 Mg 2.64, 1 Pd 2.65, 4 In 2.76-2.86

---

The following raw total energy values (in eV per atom) correspond, in order, to the records above: -3.072; -4.868; -3.641; -4.346; -4.517; -3.812.